Compound: CaAg2W
Source: the Alexandria database
Functional: PBEsol
Structure: optimized geometry

a b c (Å): 2.7745 5.2084 5.2084
angles (deg): 106.41 90.00 90.00
Closest atoms and distances in Å follow each position.
Positions (direct):
W1 0.5000 0.5000 0.5000  2 W 2.77, 8 Ag 2.95
Ag1 0.0000 0.0000 0.5000  2 Ag 2.77, 4 Ca 2.95, 4 W 2.95
Ag2 0.0000 0.5000 0.0000  2 Ag 2.77, 4 W 2.95, 4 Ca 2.95
Ca1 0.5000 0.0000 0.0000  2 Ca 2.77, 8 Ag 2.95

## Properties
The calculation puts the energy of formation at 0.5328 eV/atom. The calculation puts the density of states at the Fermi level at 3.891 states/eV per cell. The polymorph energy (0 for the lowest one) comes out at 66 meV per atom. The magnetic moment is 0.29 μB per formula unit. For the volume, the calculation gives 18.1 Å³ per atom. The calculation puts the total energy at -0.3754 Ry/atom.

Compound: CaY4Ag
Source: the Alexandria database
Functional: PBEsol
Structure: optimized geometry

a b c (Å): 6.3877 6.3877 6.3877
angles (deg): 60.00 60.00 60.00
Closest atoms and distances in Å follow each position.
Positions (direct):
Y1 0.8733 0.3756 0.3756  6 Y 3.18-3.21
Y2 0.3756 0.8733 0.3756  6 Y 3.18-3.21
Ca1 0.0000 0.0000 0.0000  12 Y 3.75, 4 Ag 3.91
Y3 0.3756 0.3756 0.3756  6 Y 3.18-3.21
Ag1 0.7500 0.7500 0.7500  12 Y 3.74, 4 Ca 3.91
Y4 0.3756 0.3756 0.8733  6 Y 3.18-3.21

## Properties
The calculation puts the energy of formation at 0.3892 eV/atom. The calculation puts the density of states at the Fermi level at 8.363 states/eV per cell. The magnetic moment is 0.00 μB per formula unit. For the volume, the calculation gives 30.7 Å³ per atom. The calculation puts the total energy at -0.3724 Ry/atom.